Below is an optimized crystal structure of Ba6Na2Nb2V2O17, with properties calculated at the GGA+U level. Values from VASP.

Values from the calculation:
The total magnetic moment is 0.0 Bohr magnetons per cell. The energy above the most stable polymorph in this dataset is 0 kJ/mol of formula units.

Quantum ESPRESSO input file:
```
&SYSTEM
  ibrav = 0, nat = 29, ntyp = 5
/
ATOMIC_SPECIES
Ba 137.33 Ba.upf
Na 22.99 Na.upf
Nb 92.91 Nb.upf
V 50.94 V.upf
O 16.00 O.upf
CELL_PARAMETERS angstrom
5.198 -2.981 0.000
5.198 2.981 0.000
-0.045 0.000 14.996
ATOMIC_POSITIONS angstrom
Ba 0.000 0.000 0.000
Ba 3.407 0.042 10.276
Ba 3.474 -0.006 2.258
Ba 6.944 0.042 4.720
Ba 6.877 -0.006 12.737
Ba 5.176 -2.648 7.498
Na 5.152 -2.955 11.273
Na 5.200 -2.955 3.723
Nb 3.420 -0.002 13.693
Nb 6.932 -0.002 1.303
V 3.467 0.097 5.932
V 6.884 0.097 9.064
O 4.190 1.628 5.496
O 1.814 0.156 12.628
O 1.828 0.073 5.322
O 4.390 1.258 12.585
O 6.161 1.628 9.500
O 5.962 1.258 2.411
O 3.517 -0.248 7.624
O 2.483 -1.402 0.035
O 5.198 -0.098 0.000
O 4.346 -1.171 5.106
O 4.052 -1.520 12.687
O 6.834 -0.248 7.372
O 6.005 -1.171 9.890
O 8.537 0.156 2.368
O 8.524 0.073 9.674
O 6.299 -1.520 2.309
O 7.869 -1.402 14.961
```